1.
The following is a PBE-GGA calculation of an optimized crystal structure of Ho2SiPd, from OQMD via LeMat-Bulk.

```
Ho2SiPd
1.0
5.595 0.000 0.000
0.000 4.074 0.000
-0.192 0.000 7.592
Ho Pd Si
4 2 2
Direct
0.372 0.250 0.177
0.870 0.750 0.315
0.130 0.250 0.685
0.628 0.750 0.823
0.848 0.250 0.042
0.152 0.750 0.958
0.376 0.750 0.464
0.624 0.250 0.536
```

---

2.
The following is a PBE-GGA calculation of an optimized crystal structure of HoSi2Pd, from OQMD via LeMat-Bulk.

```
HoSi2Pd
1.0
-0.579 -0.634 4.011
-4.440 -0.952 -0.792
1.784 -7.543 -0.935
Ho Pd Si
2 2 4
Direct
0.500 0.432 0.293
0.500 0.568 0.793
0.000 0.837 0.171
0.000 0.163 0.671
0.500 0.029 0.014
0.000 0.329 0.022
0.500 0.971 0.514
0.000 0.671 0.522
```

---

| no. | DFT total energy (eV per cell) | calculated volume (Å³ per cell) |
| --- | --- | --- |
| 1 | -45.90 | 173.05 |
| 2 | -45.68 | 147.62 |